1.
A geometry-optimized Pr2CoI structure. Source: the Alexandria database, functional GGA-PBE.

```
Pr2CoI
1.0
4.094 0.000 0.000
2.047 3.545 0.000
2.047 1.182 8.184
Pr Co I
2 1 1
direct
0.728 0.728 0.817
0.272 0.272 0.183
0.000 0.000 0.000
0.500 0.500 0.500
```

## Properties
The calculation puts the total energy at -5.12 eV per atom. The offset from the most stable computed form comes out at 0.000 eV per atom. The theoretical density comes out at 6.54 g/cm3. Its symmetry is R-3m. The size of the total moment is 0.00 μB per cell. As for the energy relative to the elements, uncorrected: -0.568 eV per atom.

***

2.
A geometry-optimized NaSr2Ga structure. Source: the Alexandria database, functional GGA-PBE.

```
NaSr2Ga
1.0
3.975 0.000 0.000
0.000 3.975 0.000
0.000 0.000 9.420
Na Sr Ga
1 2 1
direct
0.500 0.500 0.500
0.000 0.000 0.194
0.000 0.000 0.806
0.500 0.500 0.000
```

## Properties
The calculation puts the total energy at -2.14 eV per atom. The theoretical density comes out at 2.99 g/cm3. Its symmetry is P4/mmm. The calculation puts the formation energy at -0.21 eV/atom. The size of the total moment is 0.00 μB per cell.

***

3.
A geometry-optimized BPIrI structure. Source: the Alexandria database, functional GGA-PBE.

```
BPIrI
1.0
-2.721 -1.011 -1.578
3.393 0.272 -2.562
2.681 -6.721 2.891
B P I Ir
1 1 1 1
direct
0.172 0.868 0.633
0.081 0.499 0.837
0.022 0.835 0.346
0.766 0.910 0.792
```

## Properties
The calculation puts the total energy at -5.49 eV per atom. The offset from the most stable computed form comes out at 0.000 eV per atom. The theoretical density comes out at 6.07 g/cm3. Its symmetry is P1. The size of the total moment is 0.00 μB per cell. As for the energy relative to the elements, uncorrected: 0.135 eV per atom.

***

4.
A geometry-optimized InFe2Tc2 structure. Source: the Alexandria database, functional GGA-PBE.

```
InFe2Tc2
1.0
7.225 0.000 0.000
0.000 7.225 0.000
0.000 0.000 2.730
Tc In Fe
4 2 4
direct
0.834 0.334 0.500
0.666 0.834 0.500
0.334 0.166 0.500
0.166 0.666 0.500
0.500 0.500 0.000
0.000 0.000 0.000
0.379 0.879 0.000
0.879 0.621 0.000
0.621 0.121 0.000
0.121 0.379 0.000
```

## Properties
The calculation puts the total energy at -7.81 eV per atom. The offset from the most stable computed form comes out at 0.000 eV per atom. The theoretical density comes out at 9.85 g/cm3. Its symmetry is P4/mbm. The calculation puts the formation energy at 0.27 eV/atom. The size of the total moment is 0.00 μB per cell.

***

5.
A geometry-optimized ScPaAlCu structure. Source: the Alexandria database, functional GGA-PBE.

```
ScPaAlCu
1.0
-2.663 -3.933 -1.027
0.088 -3.840 2.978
-3.896 -1.070 2.701
Sc Al Pa Cu
1 1 1 1
direct
0.500 0.500 0.500
0.750 0.750 0.750
0.000 0.000 0.000
0.250 0.250 0.250
```

## Properties
The calculation puts the total energy at -5.97 eV per atom. The theoretical density comes out at 7.50 g/cm3. Its symmetry is F-43m. The calculation puts the formation energy at -0.05 eV/atom. The size of the total moment is 0.00 μB per cell.

***

6.
A geometry-optimized TaFePCl2 structure. Source: the Alexandria database, functional GGA-PBE.

```
TaFePCl2
1.0
4.284 0.000 0.000
0.000 4.284 0.000
0.000 0.000 4.694
P Fe Cl Ta
1 1 2 1
direct
0.000 0.000 0.500
0.000 0.000 0.000
0.000 0.500 0.000
0.500 0.000 0.000
0.500 0.500 0.500
```

## Properties
The calculation puts the total energy at -5.07 eV per atom. The offset from the most stable computed form comes out at 0.452 eV per atom. The theoretical density comes out at 6.53 g/cm3. Its symmetry is P4/mmm. The size of the total moment is 0.00 μB per cell. As for the energy relative to the elements, uncorrected: 0.818 eV per atom.

***

7.
A geometry-optimized SmYCBr structure. Source: the Alexandria database, functional GGA-PBE.

```
SmYCBr
1.0
3.723 0.000 0.000
-1.861 3.224 0.000
-1.861 -1.074 7.251
Sm C Br Y
1 1 1 1
direct
0.515 0.156 0.686
0.310 0.553 0.879
0.963 0.379 0.357
0.090 0.943 0.048
```

## Properties
The calculation puts the total energy at -6.45 eV per atom. The theoretical density comes out at 6.32 g/cm3. Its symmetry is R3m. The size of the total moment is 0.00 μB per cell. As for the energy relative to the elements, uncorrected: -0.930 eV per atom.

***

8.
A geometry-optimized HfSiO4 structure. Source: the Alexandria database, functional GGA-PBE.

```
HfSiO4
1.0
-4.459 0.476 -3.293
-0.974 -2.484 4.882
1.742 5.162 1.127
Si O Hf
2 8 2
direct
0.500 0.500 0.000
0.750 0.250 0.500
0.318 0.134 0.815
0.497 0.682 0.815
0.318 0.503 0.185
0.866 0.682 0.185
0.384 0.068 0.315
0.932 0.247 0.315
0.932 0.616 0.685
0.753 0.068 0.685
0.000 0.000 0.000
0.250 0.750 0.500
```

## Properties
The calculation puts the total energy at -9.06 eV per atom. The theoretical density comes out at 6.82 g/cm3. Its symmetry is I4_1/amd. The size of the total moment is 0.00 μB per cell. As for the energy relative to the elements, uncorrected: -3.191 eV per atom.

***

9.
A geometry-optimized EuPuGaPb structure. Source: the Alexandria database, functional GGA-PBE.

```
EuPuGaPb
1.0
-1.905 4.522 -2.261
-3.812 -0.287 -3.818
-5.032 1.646 1.077
Ga Pb Pu Eu
1 1 1 1
direct
0.250 0.250 0.250
0.750 0.750 0.750
0.500 0.500 0.500
0.000 0.000 0.000
```

## Properties
The calculation puts the total energy at -8.10 eV per atom. The theoretical density comes out at 10.02 g/cm3. Its symmetry is F-43m. The calculation puts the formation energy at -0.26 eV/atom. The size of the total moment is 12.99 μB per cell.

***

10.
A geometry-optimized Ac12Ru5Au3 structure. Source: the Alexandria database, functional GGA-PBE.

```
Ac12Ru5Au3
1.0
-10.320 11.104 3.130
-7.202 -12.046 -6.527
6.815 -4.559 13.129
Ac Ru Au
48 20 12
direct
0.290 0.878 0.970
0.592 0.970 0.679
0.413 0.122 0.592
0.710 0.587 0.179
0.790 0.470 0.378
0.290 0.413 0.821
0.913 0.092 0.622
0.908 0.087 0.878
0.122 0.710 0.530
0.092 0.913 0.122
0.087 0.179 0.210
0.210 0.530 0.622
0.679 0.210 0.587
0.470 0.790 0.878
0.470 0.679 0.092
0.622 0.030 0.210
0.408 0.378 0.587
0.030 0.408 0.821
0.587 0.710 0.679
0.587 0.878 0.408
0.378 0.408 0.087
0.970 0.378 0.290
0.821 0.913 0.290
0.913 0.821 0.790
0.179 0.092 0.970
0.592 0.622 0.413
0.790 0.321 0.913
0.413 0.290 0.321
0.908 0.821 0.530
0.878 0.290 0.470
0.878 0.587 0.908
0.030 0.622 0.710
0.179 0.087 0.710
0.970 0.592 0.179
0.087 0.908 0.378
0.530 0.321 0.908
0.210 0.679 0.087
0.710 0.122 0.030
0.679 0.470 0.592
0.378 0.970 0.790
0.530 0.210 0.122
0.821 0.908 0.030
0.122 0.413 0.092
0.408 0.030 0.321
0.321 0.530 0.408
0.092 0.179 0.470
0.622 0.592 0.913
0.321 0.790 0.413
0.000 0.500 0.000
0.125 0.375 0.250
0.500 0.500 0.000
0.250 0.875 0.125
0.375 0.125 0.750
0.375 0.250 0.125
0.250 0.375 0.625
0.125 0.750 0.375
0.000 0.000 0.500
0.000 0.500 0.500
0.750 0.625 0.375
0.500 0.500 0.500
0.750 0.125 0.875
0.500 0.000 0.500
0.500 0.000 0.000
0.000 0.000 0.000
0.625 0.875 0.250
0.625 0.750 0.875
0.875 0.250 0.625
0.875 0.625 0.750
0.750 0.375 0.125
0.250 0.125 0.375
0.750 0.875 0.625
0.625 0.375 0.750
0.875 0.750 0.125
0.625 0.250 0.375
0.375 0.625 0.250
0.375 0.750 0.625
0.125 0.875 0.750
0.125 0.250 0.875
0.875 0.125 0.250
0.250 0.625 0.875
```

## Properties
The calculation puts the total energy at -5.45 eV per atom. The theoretical density comes out at 8.89 g/cm3. Its symmetry is Ia-3d. The calculation puts the formation energy at -0.17 eV/atom. The size of the total moment is 0.00 μB per cell.

***

11.
A geometry-optimized BaCo4Cu structure. Source: the Alexandria database, functional GGA-PBE.

```
BaCo4Cu
1.0
-0.195 -0.248 5.114
-1.877 3.939 2.686
-4.520 -0.439 2.373
Co Ba Cu
4 1 1
direct
0.377 0.377 0.377
0.377 0.377 0.869
0.869 0.377 0.377
0.377 0.869 0.377
0.000 0.000 0.000
0.750 0.750 0.750
```

## Properties
The calculation puts the total energy at -5.18 eV per atom. The theoretical density comes out at 7.62 g/cm3. Its symmetry is F-43m. The calculation puts the formation energy at 0.56 eV/atom. The size of the total moment is 6.72 μB per cell.

***

12.
A geometry-optimized PmDyTeI structure. Source: the Alexandria database, functional GGA-PBE.

```
PmDyTeI
1.0
-5.223 1.358 0.072
-3.501 -2.572 -3.202
-3.635 -3.370 2.134
I Dy Te Pm
1 1 1 1
direct
0.500 0.500 0.500
0.250 0.250 0.250
0.000 0.000 0.000
0.750 0.750 0.750
```

## Properties
The calculation puts the total energy at -4.52 eV per atom. The theoretical density comes out at 8.40 g/cm3. Its symmetry is F-43m. The size of the total moment is 0.00 μB per cell. As for the energy relative to the elements, uncorrected: -1.008 eV per atom.

***

In the order shown, the computed DOS at the Fermi energy values come out to 1.212; 2.606; 2.233; 7.737; 4.364; 9.150; 2.043; 0.000; 14.696; 18.678; 9.029; 3.539 states/eV/f.u..